Below is an optimized crystal structure of YRe2Rh2, with properties calculated at the GGA-PBE level.

Output
Formation energy   -44 meV per atom
DOS(E_F)   4.9 states/eV/f.u.
Size of the total moment   0.0 μB per formula unit
Theoretical density   13.13 Mg/m³

Unit cell a=7.7915 b=7.7915 c=2.7794 alpha=90.00 beta=90.00 gamma=90.00
With the nearest neighbours (Å) after each atom.
Positions (direct):
Y (0.0000, 0.0000, 0.0000)  2 Y 2.78
Y (0.5000, 0.5000, 0.0000)  2 Y 2.78
Re (0.1175, 0.3825, 0.0000)  3 Re 2.59-2.78, 6 Rh 2.68-2.71
Re (0.3825, 0.8825, 0.0000)  3 Re 2.59-2.78, 6 Rh 2.68-2.71
Re (0.6175, 0.1175, 0.0000)  3 Re 2.59-2.78, 6 Rh 2.68-2.71
Re (0.8825, 0.6175, 0.0000)  3 Re 2.59-2.78, 6 Rh 2.68-2.71
Rh (0.1748, 0.6748, 0.5000)  6 Re 2.68-2.71, 2 Rh 2.78
Rh (0.3252, 0.1748, 0.5000)  6 Re 2.68-2.71, 2 Rh 2.78
Rh (0.6748, 0.8252, 0.5000)  6 Re 2.68-2.71, 2 Rh 2.78
Rh (0.8252, 0.3252, 0.5000)  6 Re 2.68-2.71, 2 Rh 2.78



Below is an optimized crystal structure of YReRh, with properties calculated at the GGA-PBE level.

Output
Formation energy   118 meV per atom
DOS(E_F)   2.7 states/eV/f.u.
Size of the total moment   0.0 μB per formula unit
Theoretical density   11.35 Mg/m³

Unit cell a=4.6393 b=4.6393 c=2.9681 alpha=90.00 beta=90.00 gamma=120.00
With the nearest neighbours (Å) after each atom.
Positions (direct):
Y (0.0000, 0.0000, 0.0000)  2 Y 2.97, 6 Rh 3.06, 6 Re 3.06
Re (0.6667, 0.3333, 0.5000)  3 Rh 2.68, 2 Re 2.97
Rh (0.3333, 0.6667, 0.5000)  3 Re 2.68, 2 Rh 2.97